The following is a PBE calculation of a geometry-optimized LaSbTe2H structure, from Alexandria.

a = 5.541 Å, b = 5.541 Å, c = 4.003 Å
α = 90.00°, β = 90.00°, γ = 90.00°
Sites, in units of the cell vectors:
La 0.000 0.000 0.000
Sb 0.500 0.500 0.000
Te 0.000 0.500 0.500
Te 0.500 0.000 0.500
H 0.500 0.500 0.500

The total energy comes out at -4.162 eV per atom. Its symmetry is No. 123.

The following is a PBE calculation of a geometry-optimized La2YSbH structure, from Alexandria.

a = 4.931 Å, b = 4.931 Å, c = 5.022 Å
α = 90.00°, β = 90.00°, γ = 90.00°
Sites, in units of the cell vectors:
La 0.000 0.500 0.000
La 0.500 0.000 0.000
Y 0.000 0.000 0.500
Sb 0.500 0.500 0.500
H 0.000 0.000 0.000

The total energy comes out at -5.363 eV per atom. Its symmetry is No. 123.

The following is a PBE calculation of a geometry-optimized La2Y2Sb2H structure, from Alexandria.

a = 9.217 Å, b = 9.217 Å, c = 9.217 Å
α = 150.77°, β = 150.77°, γ = 41.81°
Sites, in units of the cell vectors:
La 0.177 0.177 0.000
La 0.823 0.823 0.000
Y 0.000 0.500 0.500
Y 0.500 0.000 0.500
Sb 0.370 0.370 0.000
Sb 0.630 0.630 0.000
H 0.000 0.000 0.000

The total energy comes out at -5.789 eV per atom. Its symmetry is No. 139.